{
  "formula": "PmCd4Rh",
  "functional": "PBE-GGA",
  "state": "optimized geometry",
  "m_tot_mub_per_atom": 0.00,
  "vol_a3_per_atom": 22.7,
  "ef_mev_per_atom": -309,
  "cell": [[-1.1625, 3.7598, 1.6510], [-6.8827, -1.1877, -2.1417], [-1.7044, -3.8759, 7.6267]],
  "species": ["Pm", "Pm", "Cd", "Cd", "Cd", "Cd", "Cd", "Cd", "Cd", "Cd", "Rh", "Rh"],
  "frac_coords": [[0.0000, 0.5912, 0.7500], [0.0000, 0.4088, 0.2500], [0.0000, 0.0000, 0.5000], [0.0000, 0.0000, 0.0000], [0.5000, 0.9478, 0.7500], [0.5000, 0.0522, 0.2500], [0.5000, 0.6920, 0.0487], [0.5000, 0.3080, 0.9513], [0.5000, 0.6920, 0.4513], [0.5000, 0.3080, 0.5487], [0.0000, 0.2223, 0.7500], [0.0000, 0.7777, 0.2500]]
}